VASP calculation (PBE) on an optimized crystal structure of EuPu3Ru.

Computed properties:
Uncorrected energy (eV per cell): -61.8
Energy of formation from the pure elements (eV per atom): 0.1539
Calculated density (Mg/m³): 10.607
Crystal system: cubic

Cell: 5.3626 5.3626 5.3626 Å, 90.00 90.00 90.00°
With the nearest neighbours (Å) after each atom.
Sites, in units of the cell vectors:
Eu1 0.0000 0.0000 0.0000  12 Pu 3.79
Pu1 0.0000 0.5000 0.5000  2 Ru 2.68
Pu2 0.5000 0.0000 0.5000  2 Ru 2.68
Pu3 0.5000 0.5000 0.0000  2 Ru 2.68
Ru1 0.5000 0.5000 0.5000  6 Pu 2.68